VASP calculation (PBE) on Pm2Pr7Tm2 after structural relaxation.

a b c (Å): 10.036 9.538 8.471
angles (deg): 90.00 105.25 90.00
Space group C2/m (No. 12)
Asymmetric unit:
Pm: 0.083 0.000 0.326 x4
Pr: 0.000 0.500 0.500 x2
Pr: 0.202 0.203 0.680 x8
Pr: 0.216 0.000 0.027 x4
Tm: 0.000 0.294 0.000 x4

Summary:
polymorph energy (0 for the lowest one)	32	meV per atom
VASP energy	-100.2	eV per cell



VASP calculation (PBE) on Fe5H4Ir after structural relaxation.

a b c (Å): 8.593 2.616 8.205
angles (deg): 90.00 118.51 90.00
Space group C2/m (No. 12)
Asymmetric unit:
Fe: 0.000 0.000 0.000 x2
Fe: 0.156 0.500 0.849 x4
Fe: 0.198 0.500 0.334 x4
H: 0.015 0.000 0.221 x4
H: 0.178 0.500 0.089 x4
Ir: 0.000 0.500 0.500 x2

Summary:
VASP energy	-127.3	eV per cell



VASP calculation (PBE) on CeHgCl6 after structural relaxation.

a b c (Å): 6.918 11.971 6.886
angles (deg): 90.00 90.70 90.00
Space group C2/m (No. 12)
Asymmetric unit:
Ce: 0.000 0.000 0.000 x2
Hg: 0.000 0.000 0.500 x2
Cl: 0.150 0.150 0.243 x8
Cl: 0.201 0.500 0.238 x4

Summary:
energy relative to the elements, uncorrected	-1.379	eV/atom
polymorph energy (0 for the lowest one)	5	meV per atom
VASP energy	-56.7	eV per cell